Entry 1:
The following is a SCAN calculation of a crystal of BaPtN2 relaxed with PBEsol, from Alexandria via LeMat-Bulk.

Summary:
Density   6.22 Mg/m³
Calculated volume   288.5 Å³/cell
E_tot   -128.7 eV/f.u.
ΔE_f (raw)   -0.085 eV/atom
Offset from the most stable computed form   0.000 eV/atom

```
data_BaPtN2
_chemical_formula_sum 'Ba3 Pt3 N6'
_space_group_name_H-M_alt 'R -3 m'
_space_group_IT_number 166
_space_group_name_Hall '-R 3 2"'
_cell_length_a 4.4881
_cell_length_b 4.4881
_cell_length_c 16.5415
_cell_angle_alpha 90.00
_cell_angle_beta 90.00
_cell_angle_gamma 120.00
loop_
_atom_site_label
_atom_site_fract_x
_atom_site_fract_y
_atom_site_fract_z
_atom_site_occupancy
Ba1 0.0000 0.0000 0.0000 1
Pt1 0.0000 0.0000 0.5000 1
N1 0.0000 0.0000 0.3939 1
```


Entry 2:
The following is a SCAN calculation of a crystal of BaPtSN2 relaxed with PBEsol, from Alexandria via LeMat-Bulk.

Summary:
Density   5.90 Mg/m³
Calculated volume   110.5 Å³/cell
E_tot   -126.6 eV/f.u.
ΔE_f (raw)   2.272 eV/atom

```
data_BaPtSN2
_chemical_formula_sum 'Ba1 Pt1 S1 N2'
_space_group_name_H-M_alt 'P 4/m m m'
_space_group_IT_number 123
_space_group_name_Hall '-P 4 2'
_cell_length_a 4.261
_cell_length_b 4.261
_cell_length_c 6.088
_cell_angle_alpha 90.00
_cell_angle_beta 90.00
_cell_angle_gamma 90.00
loop_
_atom_site_label
_atom_site_fract_x
_atom_site_fract_y
_atom_site_fract_z
_atom_site_occupancy
Ba1 0.000 0.000 0.000 1
Pt1 0.500 0.500 0.500 1
S1 0.000 0.000 0.500 1
N1 0.000 0.500 0.000 1
```


Entry 3:
The following is a SCAN calculation of a crystal of RbBaTeN2 relaxed with PBEsol, from Alexandria via LeMat-Bulk.

Summary:
Density   3.35 Mg/m³
Calculated volume   187.4 Å³/cell
E_tot   -112.9 eV/f.u.
ΔE_f (raw)   0.654 eV/atom

```
data_RbBaTeN2
_chemical_formula_sum 'Rb1 Ba1 Te1 N2'
_space_group_name_H-M_alt 'P 4/m m m'
_space_group_IT_number 123
_space_group_name_Hall '-P 4 2'
_cell_length_a 5.289
_cell_length_b 5.289
_cell_length_c 6.698
_cell_angle_alpha 90.00
_cell_angle_beta 90.00
_cell_angle_gamma 90.00
loop_
_atom_site_label
_atom_site_fract_x
_atom_site_fract_y
_atom_site_fract_z
_atom_site_occupancy
Rb1 0.000 0.000 0.000 1
Ba1 0.500 0.500 0.500 1
Te1 0.500 0.500 0.000 1
N1 0.000 0.500 0.500 1
```